# ScMnPbF6

Crystalline ScMnPbF6 at its relaxed geometry (GGA+U, Alexandria).

D(E_F) ... 2.50 states/eV/f.u.
Total DFT energy (no corrections) ... -108.58 eV per cell

Lattice parameters (Å, degrees): 5.5867 5.5867 12.2174 90.00 90.00 120.00
Last column: magnetic moment on the atom in μB.
Atoms (fractional coordinates):
Sc 0.6667 0.3333 0.2500  0.02
Sc 0.3333 0.6667 0.7500  0.02
Mn 0.3333 0.6667 0.2500  4.70
Mn 0.6667 0.3333 0.7500  4.70
Pb 0.0000 0.0000 0.0000  0.27
Pb 0.0000 0.0000 0.5000  0.27
F 0.6444 0.6299 0.1597  0.03
F 0.9855 0.3556 0.1597  0.03
F 0.3556 0.9855 0.6597  0.03
F 0.0145 0.6444 0.8403  0.03
F 0.3701 0.3556 0.3403  0.03
F 0.9855 0.6299 0.3403  0.03
F 0.6299 0.9855 0.8403  0.03
F 0.6444 0.0145 0.3403  0.03
F 0.0145 0.3701 0.6597  0.03
F 0.3701 0.0145 0.1597  0.03
F 0.6299 0.6444 0.6597  0.03
F 0.3556 0.3701 0.8403  0.03